Compound: GaAgPtRh
Source: Alexandria
Functional: GGA-PBE
Structure: relaxed

The structure in POSCAR format:
```
GaAgPtRh
1.0
4.431 0.000 0.000
2.216 3.838 0.000
2.216 1.279 3.618
Pt Ga Ag Rh
1 1 1 1
direct
0.750 0.750 0.750
0.000 0.000 0.000
0.500 0.500 0.500
0.250 0.250 0.250
```

Results
ΔH_f (0 K)	-0.2575	eV/atom
calculated total energy	-5.075	eV/atom
density of states at the Fermi level	1.05	states/eV/cell

---

Compound: GaAg2SbPt
Source: Alexandria
Functional: GGA-PBE
Structure: relaxed

The structure in POSCAR format:
```
GaAg2SbPt
1.0
5.114 0.000 0.000
0.000 5.246 0.000
0.000 0.000 5.114
Ga Sb Ag Pt
1 1 2 1
direct
0.000 0.500 0.000
0.000 0.000 0.000
0.000 0.000 0.500
0.500 0.000 0.000
0.500 0.500 0.500
```

Results
calculated total energy	-2.886	eV/atom
formation energy without anion corrections	0.892	eV per atom
density of states at the Fermi level	2.36	states/eV/cell

---

Compound: Sc4GaAgPt2
Source: Alexandria
Functional: GGA-PBE
Structure: relaxed

The structure in POSCAR format:
```
Sc4GaAgPt2
1.0
4.724 0.000 0.000
2.362 4.091 0.000
2.362 1.364 7.740
Sc Pt Ag Ga
4 2 1 1
direct
0.376 0.376 0.873
0.875 0.875 0.376
0.624 0.624 0.127
0.125 0.125 0.624
0.248 0.248 0.255
0.752 0.752 0.745
0.000 0.000 0.000
0.500 0.500 0.500
```

Results
ΔH_f (0 K)	-0.8531	eV/atom
calculated total energy	-6.264	eV/atom
density of states at the Fermi level	4.47	states/eV/cell